First-principles (PBE) data for a relaxed BeNiOs crystal, as listed in Alexandria.

Spin magnetization   0.00 μB/cell
Excess energy over the best structure of this formula in the dataset   0.1886 eV per atom
VASP energy   -6.781 eV per atom
Mass density   12.263 g/cm³

Cell: 2.8004 4.2927 11.6216 Å, 90.00 90.00 90.00°
Space group Fmm2 (No. 42)
One atom of each set of equivalent atoms:
Be: 0.0000 0.0000 0.0000
Ni: 0.0000 0.0000 0.3534
Os: 0.0000 0.0000 0.6660